No. 1
! GGA-PBEsol MgTa2TiAg, optimized geometry; values from VASP
&SYSTEM
  ibrav = 0, nat = 5, ntyp = 4
/
ATOMIC_SPECIES
Mg 24.30 Mg.upf
Ta 180.95 Ta.upf
Ti 47.87 Ti.upf
Ag 107.87 Ag.upf
ATOMIC_POSITIONS crystal
Mg 0.000 0.000 0.000
Ta 0.000 0.500 0.000
Ta 0.500 0.000 0.000
Ti 0.500 0.500 0.500
Ag 0.000 0.000 0.500
CELL_PARAMETERS angstrom
4.757 0.000 0.000
0.000 4.757 0.000
0.000 0.000 4.461
! ΔH_f (0 K) in eV per atom: 1.73
! Symmetry: No. 123
! Magnetization in μB/f.u.: 1.72


No. 2
! GGA-PBEsol TbMgAg, optimized geometry; values from VASP
&SYSTEM
  ibrav = 0, nat = 9, ntyp = 3
/
ATOMIC_SPECIES
Tb 158.93 Tb.upf
Mg 24.30 Mg.upf
Ag 107.87 Ag.upf
ATOMIC_POSITIONS crystal
Tb 0.000 0.414 0.000
Tb 0.414 0.000 0.000
Tb 0.586 0.586 0.000
Mg 0.000 0.753 0.500
Mg 0.247 0.247 0.500
Mg 0.753 0.000 0.500
Ag 0.000 0.000 0.000
Ag 0.333 0.667 0.500
Ag 0.667 0.333 0.500
CELL_PARAMETERS angstrom
7.628 0.000 0.000
-3.814 6.606 0.000
0.000 0.000 4.062
! ΔH_f (0 K) in eV per atom: -0.27
! Symmetry: No. 189
! Magnetization in μB/f.u.: 0.00


No. 3
! GGA-PBEsol MgTc3Ag, optimized geometry; values from VASP
&SYSTEM
  ibrav = 0, nat = 5, ntyp = 3
/
ATOMIC_SPECIES
Mg 24.30 Mg.upf
Tc 98.00 Tc.upf
Ag 107.87 Ag.upf
ATOMIC_POSITIONS crystal
Mg 0.000 0.000 0.000
Tc 0.000 0.500 0.500
Tc 0.500 0.000 0.500
Tc 0.500 0.500 0.000
Ag 0.500 0.500 0.500
CELL_PARAMETERS angstrom
4.729 0.000 0.000
0.000 4.729 0.000
0.000 0.000 4.729
! ΔH_f (0 K) in eV per atom: 2.41
! Symmetry: No. 221
! Magnetization in μB/f.u.: 3.68


No. 4
! GGA-PBEsol Mg2AgTe, optimized geometry; values from VASP
&SYSTEM
  ibrav = 0, nat = 4, ntyp = 3
/
ATOMIC_SPECIES
Mg 24.30 Mg.upf
Ag 107.87 Ag.upf
Te 127.60 Te.upf
ATOMIC_POSITIONS crystal
Mg 0.000 0.000 0.000
Mg 0.250 0.250 0.250
Ag 0.750 0.750 0.750
Te 0.500 0.500 0.500
CELL_PARAMETERS angstrom
0.000 3.555 3.555
3.555 0.000 3.555
3.555 3.555 0.000
! Symmetry: No. 216
! Energy relative to the elements, uncorrected in eV per atom: 0.023
! Magnetization in μB/f.u.: 0.00


No. 5
! GGA-PBEsol Mg2AgTe, optimized geometry; values from VASP
&SYSTEM
  ibrav = 0, nat = 4, ntyp = 3
/
ATOMIC_SPECIES
Mg 24.30 Mg.upf
Ag 107.87 Ag.upf
Te 127.60 Te.upf
ATOMIC_POSITIONS crystal
Mg 0.000 0.000 0.000
Mg 0.000 0.500 0.500
Ag 0.500 0.000 0.500
Te 0.500 0.500 0.000
CELL_PARAMETERS angstrom
3.803 0.000 0.000
0.000 4.736 0.000
0.000 0.000 4.762
! Symmetry: No. 47
! Energy relative to the elements, uncorrected in eV per atom: -0.219
! Magnetization in μB/f.u.: 0.00


No. 6
! GGA-PBEsol MgAg3Te, optimized geometry; values from VASP
&SYSTEM
  ibrav = 0, nat = 5, ntyp = 3
/
ATOMIC_SPECIES
Mg 24.30 Mg.upf
Ag 107.87 Ag.upf
Te 127.60 Te.upf
ATOMIC_POSITIONS crystal
Mg 0.000 0.000 0.000
Ag 0.000 0.500 0.500
Ag 0.500 0.000 0.500
Ag 0.500 0.500 0.000
Te 0.500 0.500 0.500
CELL_PARAMETERS angstrom
5.255 0.000 0.000
0.000 5.255 0.000
0.000 0.000 5.255
! Excess energy over the best structure of this formula in the dataset in meV per atom: 0
! Symmetry: No. 221
! Energy relative to the elements, uncorrected in eV per atom: 0.568
! Magnetization in μB/f.u.: 0.00


No. 7
! GGA-PBEsol YMg2AgTe, optimized geometry; values from VASP
&SYSTEM
  ibrav = 0, nat = 5, ntyp = 4
/
ATOMIC_SPECIES
Y 88.91 Y.upf
Mg 24.30 Mg.upf
Ag 107.87 Ag.upf
Te 127.60 Te.upf
ATOMIC_POSITIONS crystal
Y 0.000 0.000 0.000
Mg 0.000 0.500 0.500
Mg 0.500 0.000 0.500
Ag 0.500 0.500 0.000
Te 0.500 0.500 0.500
CELL_PARAMETERS angstrom
5.322 0.000 0.000
0.000 5.322 0.000
0.000 0.000 5.252
! Symmetry: No. 123
! Energy relative to the elements, uncorrected in eV per atom: 0.400
! Magnetization in μB/f.u.: 0.00


No. 8
! GGA-PBEsol MgTiAg3, optimized geometry; values from VASP
&SYSTEM
  ibrav = 0, nat = 5, ntyp = 3
/
ATOMIC_SPECIES
Mg 24.30 Mg.upf
Ti 47.87 Ti.upf
Ag 107.87 Ag.upf
ATOMIC_POSITIONS crystal
Mg 0.000 0.000 0.000
Ti 0.500 0.500 0.500
Ag 0.000 0.500 0.500
Ag 0.500 0.000 0.500
Ag 0.500 0.500 0.000
CELL_PARAMETERS angstrom
4.921 0.000 0.000
0.000 4.921 0.000
0.000 0.000 4.921
! ΔH_f (0 K) in eV per atom: 0.95
! Symmetry: No. 221
! Magnetization in μB/f.u.: 1.15


No. 9
! GGA-PBEsol Mg3TiAg, optimized geometry; values from VASP
&SYSTEM
  ibrav = 0, nat = 5, ntyp = 3
/
ATOMIC_SPECIES
Mg 24.30 Mg.upf
Ti 47.87 Ti.upf
Ag 107.87 Ag.upf
ATOMIC_POSITIONS crystal
Mg 0.000 0.000 0.500
Mg 0.000 0.500 0.000
Mg 0.500 0.000 0.000
Ti 0.500 0.500 0.500
Ag 0.000 0.000 0.000
CELL_PARAMETERS angstrom
4.950 0.000 0.000
0.000 4.950 0.000
0.000 0.000 4.950
! ΔH_f (0 K) in eV per atom: 0.57
! Symmetry: No. 221
! Magnetization in μB/f.u.: 2.21


No. 10
! GGA-PBEsol Mg4TlAg, optimized geometry; values from VASP
&SYSTEM
  ibrav = 0, nat = 6, ntyp = 3
/
ATOMIC_SPECIES
Mg 24.30 Mg.upf
Tl 204.38 Tl.upf
Ag 107.87 Ag.upf
ATOMIC_POSITIONS crystal
Mg 0.125 0.125 0.125
Mg 0.125 0.125 0.626
Mg 0.125 0.626 0.125
Mg 0.626 0.125 0.125
Tl 0.500 0.500 0.500
Ag 0.750 0.750 0.750
CELL_PARAMETERS angstrom
0.000 4.050 4.050
4.050 0.000 4.050
4.050 4.050 0.000
! ΔH_f (0 K) in eV per atom: 0.12
! Symmetry: No. 216
! Magnetization in μB/f.u.: 0.00


No. 11
! GGA-PBEsol MgTlAg2, optimized geometry; values from VASP
&SYSTEM
  ibrav = 0, nat = 4, ntyp = 3
/
ATOMIC_SPECIES
Mg 24.30 Mg.upf
Tl 204.38 Tl.upf
Ag 107.87 Ag.upf
ATOMIC_POSITIONS crystal
Mg 0.000 0.000 0.000
Tl 0.241 0.241 0.241
Ag 0.488 0.488 0.488
Ag 0.744 0.744 0.744
CELL_PARAMETERS angstrom
1.585 0.915 9.237
-1.585 0.915 9.237
0.000 -1.830 9.237
! ΔH_f (0 K) in eV per atom: 0.04
! Symmetry: No. 160
! Magnetization in μB/f.u.: 0.00


No. 12
! GGA-PBEsol MgTlAg2, optimized geometry; values from VASP
&SYSTEM
  ibrav = 0, nat = 4, ntyp = 3
/
ATOMIC_SPECIES
Mg 24.30 Mg.upf
Tl 204.38 Tl.upf
Ag 107.87 Ag.upf
ATOMIC_POSITIONS crystal
Mg 0.000 0.000 0.000
Tl 0.000 0.000 0.500
Ag 0.500 0.500 0.228
Ag 0.500 0.500 0.772
CELL_PARAMETERS angstrom
3.515 0.000 0.000
0.000 3.515 0.000
0.000 0.000 6.273
! ΔH_f (0 K) in eV per atom: -0.07
! Symmetry: No. 123
! Magnetization in μB/f.u.: 0.00


No. 13
! GGA-PBEsol MgTlAg2, optimized geometry; values from VASP
&SYSTEM
  ibrav = 0, nat = 4, ntyp = 3
/
ATOMIC_SPECIES
Mg 24.30 Mg.upf
Tl 204.38 Tl.upf
Ag 107.87 Ag.upf
ATOMIC_POSITIONS crystal
Mg 0.000 0.000 0.000
Tl 0.750 0.750 0.750
Ag 0.250 0.250 0.250
Ag 0.500 0.500 0.500
CELL_PARAMETERS angstrom
0.000 3.377 3.377
3.377 0.000 3.377
3.377 3.377 0.000
! ΔH_f (0 K) in eV per atom: -0.03
! Symmetry: No. 216
! Magnetization in μB/f.u.: 0.00


No. 14
! GGA-PBEsol MgTlAg2, optimized geometry; values from VASP
&SYSTEM
  ibrav = 0, nat = 4, ntyp = 3
/
ATOMIC_SPECIES
Mg 24.30 Mg.upf
Tl 204.38 Tl.upf
Ag 107.87 Ag.upf
ATOMIC_POSITIONS crystal
Mg 0.000 0.000 0.000
Tl 0.500 0.500 0.000
Ag 0.250 0.750 0.500
Ag 0.750 0.250 0.500
CELL_PARAMETERS angstrom
-2.188 2.188 3.985
2.188 -2.188 3.985
2.188 2.188 -3.985
! ΔH_f (0 K) in eV per atom: -0.06
! Symmetry: No. 139
! Magnetization in μB/f.u.: 0.00


No. 15
! GGA-PBEsol TmMgAg, optimized geometry; values from VASP
&SYSTEM
  ibrav = 0, nat = 9, ntyp = 3
/
ATOMIC_SPECIES
Tm 168.93 Tm.upf
Mg 24.30 Mg.upf
Ag 107.87 Ag.upf
ATOMIC_POSITIONS crystal
Tm 0.000 0.413 0.000
Tm 0.413 0.000 0.000
Tm 0.587 0.587 0.000
Mg 0.000 0.751 0.500
Mg 0.249 0.249 0.500
Mg 0.751 0.000 0.500
Ag 0.000 0.000 0.000
Ag 0.333 0.667 0.500
Ag 0.667 0.333 0.500
CELL_PARAMETERS angstrom
7.558 0.000 0.000
-3.779 6.545 0.000
0.000 0.000 3.999
! ΔH_f (0 K) in eV per atom: -0.27
! Symmetry: No. 189
! Magnetization in μB/f.u.: 0.00


No. 16
! GGA-PBEsol TmMg2Ag, optimized geometry; values from VASP
&SYSTEM
  ibrav = 0, nat = 8, ntyp = 3
/
ATOMIC_SPECIES
Tm 168.93 Tm.upf
Mg 24.30 Mg.upf
Ag 107.87 Ag.upf
ATOMIC_POSITIONS crystal
Tm 0.057 0.943 0.750
Tm 0.943 0.057 0.250
Mg 0.358 0.642 0.551
Mg 0.358 0.642 0.949
Mg 0.642 0.358 0.051
Mg 0.642 0.358 0.449
Ag 0.234 0.766 0.250
Ag 0.766 0.234 0.750
CELL_PARAMETERS angstrom
2.035 -5.214 0.000
2.035 5.214 0.000
0.000 0.000 8.395
! ΔH_f (0 K) in eV per atom: -0.19
! Symmetry: No. 63
! Magnetization in μB/f.u.: 0.00


No. 17
! GGA-PBEsol Mg2AgW, optimized geometry; values from VASP
&SYSTEM
  ibrav = 0, nat = 4, ntyp = 3
/
ATOMIC_SPECIES
Mg 24.30 Mg.upf
Ag 107.87 Ag.upf
W 183.84 W.upf
ATOMIC_POSITIONS crystal
Mg 0.238 0.238 0.000
Mg 0.762 0.762 0.000
Ag 0.000 0.500 0.500
W 0.500 0.000 0.500
CELL_PARAMETERS angstrom
-1.414 2.521 4.837
1.414 -2.521 4.837
1.414 2.521 -4.837
! ΔH_f (0 K) in eV per atom: 0.50
! Excess energy over the best structure of this formula in the dataset in meV per atom: 0
! Symmetry: No. 71
! Magnetization in μB/f.u.: 0.00


No. 18
! GGA-PBEsol MgAgW2, optimized geometry; values from VASP
&SYSTEM
  ibrav = 0, nat = 4, ntyp = 3
/
ATOMIC_SPECIES
Mg 24.30 Mg.upf
Ag 107.87 Ag.upf
W 183.84 W.upf
ATOMIC_POSITIONS crystal
Mg 0.000 0.000 0.000
Ag 0.500 0.500 0.750
W 0.000 0.000 0.495
W 0.500 0.500 0.258
CELL_PARAMETERS angstrom
1.599 -2.213 0.000
1.599 2.213 0.000
0.000 0.000 9.240
! ΔH_f (0 K) in eV per atom: 0.27
! Symmetry: No. 35
! Magnetization in μB/f.u.: 0.00


No. 19
! GGA-PBEsol Mg2AgW, optimized geometry; values from VASP
&SYSTEM
  ibrav = 0, nat = 4, ntyp = 3
/
ATOMIC_SPECIES
Mg 24.30 Mg.upf
Ag 107.87 Ag.upf
W 183.84 W.upf
ATOMIC_POSITIONS crystal
Mg 0.250 0.250 0.250
Mg 0.750 0.750 0.750
Ag 0.000 0.000 0.000
W 0.500 0.500 0.500
CELL_PARAMETERS angstrom
0.000 3.259 3.259
3.259 0.000 3.259
3.259 3.259 0.000
! ΔH_f (0 K) in eV per atom: 0.70
! Excess energy over the best structure of this formula in the dataset in meV per atom: 209
! Symmetry: No. 225
! Magnetization in μB/f.u.: 1.96


No. 20
! GGA-PBEsol MgAgW2, optimized geometry; values from VASP
&SYSTEM
  ibrav = 0, nat = 4, ntyp = 3
/
ATOMIC_SPECIES
Mg 24.30 Mg.upf
Ag 107.87 Ag.upf
W 183.84 W.upf
ATOMIC_POSITIONS crystal
Mg 0.000 0.000 0.000
Ag 0.500 0.500 0.000
W 0.000 0.500 0.500
W 0.500 0.000 0.500
CELL_PARAMETERS angstrom
2.640 -4.834 0.000
2.640 4.834 0.000
-0.862 0.000 2.556
! ΔH_f (0 K) in eV per atom: 0.53
! Symmetry: No. 12
! Magnetization in μB/f.u.: 0.00